[1]
VASP calculation (PBE-GGA) on a relaxed USnPb2 crystal.

Structure (CIF):
```
data_USnPb2
_chemical_formula_sum 'U1 Sn1 Pb2'
_space_group_name_H-M_alt 'P 1'
_space_group_IT_number 1
_cell_length_a 4.7159
_cell_length_b 4.7159
_cell_length_c 4.8624
_cell_angle_alpha 90.00
_cell_angle_beta 90.00
_cell_angle_gamma 90.00
loop_
_space_group_symop_operation_xyz
'x,y,z'
loop_
_atom_site_label
_atom_site_type_symbol
_atom_site_fract_x
_atom_site_fract_y
_atom_site_fract_z
U1 U 0.0000 0.0000 0.0000
Sn1 Sn 0.5000 0.5000 0.0000
Pb1 Pb 0.0000 0.5000 0.5000
Pb2 Pb 0.5000 0.0000 0.5000
```

Summary:
- space-group type = P4/mmm
- crystal system = tetragonal
- magnetization (μB/atom) = 0.646
- DOS at the Fermi energy (states/eV/cell) = 8.6
- formation energy from the elements (eV per atom) = 0.068
- DFT total energy (eV per atom) = -5.609

---

[2]
VASP calculation (PBE-GGA) on a relaxed Rb2Np2AgTe6 crystal.

Structure (CIF):
```
data_Rb2Np2AgTe6
_chemical_formula_sum 'Rb2 Np2 Ag1 Te6'
_space_group_name_H-M_alt 'P 1'
_space_group_IT_number 1
_cell_length_a 7.5552
_cell_length_b 7.5552
_cell_length_c 9.0825
_cell_angle_alpha 97.77
_cell_angle_beta 97.77
_cell_angle_gamma 119.22
loop_
_space_group_symop_operation_xyz
'x,y,z'
loop_
_atom_site_label
_atom_site_type_symbol
_atom_site_fract_x
_atom_site_fract_y
_atom_site_fract_z
Rb1 Rb 0.1645 0.8355 0.0000
Rb2 Rb 0.8355 0.1645 0.0000
Np1 Np 0.3320 0.6680 0.5000
Np2 Np 0.6680 0.3320 0.5000
Ag1 Ag 0.0000 0.0000 0.5000
Te1 Te 0.0658 0.4002 0.6933
Te2 Te 0.2881 0.2881 0.3014
Te3 Te 0.4002 0.0658 0.6933
Te4 Te 0.5998 0.9342 0.3067
Te5 Te 0.7119 0.7119 0.6986
Te6 Te 0.9342 0.5998 0.3067
```

Summary:
- space-group type = C2/m
- crystal system = monoclinic
- formation energy (no corrections) (kJ/mol of formula units) = -661
- magnetization (μB/atom) = 0.446
- DOS at the Fermi energy (states/eV/cell) = 20.1
- DFT total energy (eV per atom) = -5.124

---

[3]
VASP calculation (PBE-GGA) on a relaxed KCrCoCl6 crystal.

Structure (CIF):
```
data_KCrCoCl6
_chemical_formula_sum 'K1 Cr1 Co1 Cl6'
_space_group_name_H-M_alt 'P 1'
_space_group_IT_number 1
_cell_length_a 6.2788
_cell_length_b 6.2788
_cell_length_c 7.0461
_cell_angle_alpha 90.13
_cell_angle_beta 90.13
_cell_angle_gamma 120.05
loop_
_space_group_symop_operation_xyz
'x,y,z'
loop_
_atom_site_label
_atom_site_type_symbol
_atom_site_fract_x
_atom_site_fract_y
_atom_site_fract_z
K1 K 0.0000 0.0000 0.0000
Cr1 Cr 0.3338 0.6662 0.5000
Co1 Co 0.6674 0.3326 0.5000
Cl1 Cl 0.0095 0.6345 0.3070
Cl2 Cl 0.0097 0.3747 0.6915
Cl3 Cl 0.3655 0.9905 0.6930
Cl4 Cl 0.3707 0.3796 0.3049
Cl5 Cl 0.6204 0.6293 0.6951
Cl6 Cl 0.6253 0.9903 0.3085
```

Summary:
- space-group type = C2
- crystal system = monoclinic
- formation energy (no corrections) (kJ/mol of formula units) = -970
- magnetization (μB/atom) = 0.667
- DOS at the Fermi energy (states/eV/cell) = 1.1
- DFT total energy (eV per atom) = -4.328

---

[4]
VASP calculation (PBE-GGA) on a relaxed BaEuTi4O12 crystal.

Structure (CIF):
```
data_BaEuTi4O12
_chemical_formula_sum 'Ba1 Eu1 Ti4 O12'
_space_group_name_H-M_alt 'P 1'
_space_group_IT_number 1
_cell_length_a 5.5458
_cell_length_b 5.5458
_cell_length_c 7.8186
_cell_angle_alpha 90.00
_cell_angle_beta 90.00
_cell_angle_gamma 90.00
loop_
_space_group_symop_operation_xyz
'x,y,z'
loop_
_atom_site_label
_atom_site_type_symbol
_atom_site_fract_x
_atom_site_fract_y
_atom_site_fract_z
Ba1 Ba 0.0000 0.0000 0.0000
Eu1 Eu 0.5000 0.5000 0.5000
Ti1 Ti 0.0000 0.5000 0.2516
Ti2 Ti 0.0000 0.5000 0.7484
Ti3 Ti 0.5000 0.0000 0.2516
Ti4 Ti 0.5000 0.0000 0.7484
O1 O 0.0000 0.5000 0.0000
O2 O 0.0000 0.5000 0.5000
O3 O 0.2559 0.2559 0.2621
O4 O 0.2559 0.2559 0.7379
O5 O 0.2559 0.7441 0.2621
O6 O 0.2559 0.7441 0.7379
O7 O 0.5000 0.0000 0.0000
O8 O 0.5000 0.0000 0.5000
O9 O 0.7441 0.2559 0.2621
O10 O 0.7441 0.2559 0.7379
O11 O 0.7441 0.7441 0.2621
O12 O 0.7441 0.7441 0.7379
```

Summary:
- space-group type = P4/mmm
- crystal system = tetragonal
- formation energy (no corrections) (kJ/mol of formula units) = -4452
- magnetization (μB/atom) = 0.505
- DOS at the Fermi energy (states/eV/cell) = 13.3
- DFT total energy (eV per atom) = -8.301